Computed, not measured: an optimized crystal structure of ZnMoHPd2 at the PBE level of DFT.

Summary:
The value obtained for the energy above the lowest structure with this stoichiometry is 0.000 eV/atom.

Unit cell a=3.938 b=3.938 c=4.125 alpha=90.00 beta=90.00 gamma=90.00
Space group P4/mmm (No. 123)
Symmetry-distinct sites (fractional):
1 Zn 0.000 0.000 0.000
2 Mo 0.500 0.500 0.000
3 H 0.500 0.500 0.500
4 Pd 0.000 0.500 0.500